1.
This record from Alexandria via LeMat-Bulk describes a relaxed BaTiGa2 crystal. The functional is PBE.

a b c (Å): 5.1495 5.1495 5.1495
angles (deg): 60.00 60.00 60.00
Fractional positions:
Ba  0.5000  0.5000  0.5000
Ga  0.2500  0.2500  0.2500
Ga  0.7500  0.7500  0.7500
Ti  0.0000  0.0000  0.0000

Values from the calculation:
* calculated volume: 24.14 Å³ per atom
* ΔH_f (0 K): 126 meV/atom
* crystal system: cubic
* SG: Fm-3m, No. 225
* offset from the most stable computed form: 0.007 eV per atom
* Fermi-level density of states: 3.4 states/eV/cell
* DFT total energy: -15.37 eV per cell


2.
This record from Alexandria via LeMat-Bulk describes a relaxed BaTi2Ga2 crystal. The functional is PBE.

a b c (Å): 4.8387 4.8387 6.4276
angles (deg): 67.89 67.89 90.00
Fractional positions:
Ba  0.0000  0.0000  0.0000
Ga  0.7500  0.2500  0.5000
Ga  0.2500  0.7500  0.5000
Ti  0.3367  0.3367  0.3265
Ti  0.6633  0.6633  0.6735

Values from the calculation:
* calculated volume: 25.48 Å³ per atom
* ΔH_f (0 K): 73 meV/atom
* crystal system: tetragonal
* SG: I4/mmm, No. 139
* offset from the most stable computed form: 0.169 eV per atom
* Fermi-level density of states: 3.0 states/eV/cell
* DFT total energy: -23.40 eV per cell


3.
This record from Alexandria via LeMat-Bulk describes a relaxed Ba3TiGa crystal. The functional is PBE.

a b c (Å): 6.3891 6.3891 6.3891
angles (deg): 90.00 90.00 90.00
Site moments in Bohr magnetons follow the coordinates.
Fractional positions:
Ba  0.0000  0.5000  0.0000  0.05
Ba  0.0000  0.0000  0.5000  0.05
Ba  0.5000  0.0000  0.0000  0.06
Ga  0.0000  0.0000  0.0000  -0.05
Ti  0.5000  0.5000  0.5000  2.06

Values from the calculation:
* calculated volume: 52.16 Å³ per atom
* ΔH_f (0 K): 574 meV/atom
* crystal system: cubic
* SG: Pm-3m, No. 221
* offset from the most stable computed form: 0.000 eV per atom
* Fermi-level density of states: 9.4 states/eV/cell
* DFT total energy: -13.82 eV per cell


4.
This record from Alexandria via LeMat-Bulk describes a relaxed BaTiGa2 crystal. The functional is PBE.

a b c (Å): 5.2649 5.2649 9.8578
angles (deg): 74.51 74.51 90.00
Site moments in Bohr magnetons follow the coordinates.
Fractional positions:
Ba  0.0000  0.0000  0.0000  0.10
Ba  0.7500  0.2500  0.5000  0.10
Ga  0.3757  0.1250  0.2500  0.03
Ga  0.3743  0.6250  0.2500  0.03
Ga  0.3750  0.6243  0.7500  0.05
Ga  0.8750  0.6257  0.7500  0.06
Ti  0.5000  0.5000  0.0000  1.39
Ti  0.2500  0.7500  0.5000  1.39

Values from the calculation:
* calculated volume: 31.63 Å³ per atom
* ΔH_f (0 K): 119 meV/atom
* crystal system: tetragonal
* SG: I4_1/amd, No. 141
* offset from the most stable computed form: 0.000 eV per atom
* Fermi-level density of states: 9.2 states/eV/cell
* DFT total energy: -30.79 eV per cell